1.
VASP calculation (PBE) on a relaxed structure of Ac2TmSb3.

Unit cell a=8.061 b=13.967 c=8.054 alpha=90.00 beta=109.59 gamma=90.00
Space group C2/m (No. 12)
Unique sites:
1 Ac 0.000 0.000 0.000 x2
2 Ac 0.000 0.162 0.500 x4
3 Ac 0.000 0.500 0.500 x2
4 Tm 0.000 0.332 0.000 x4
5 Sb 0.228 0.500 0.229 x4
6 Sb 0.248 0.326 0.766 x8

- Raw formation energy: -1.1288 eV per atom
- E: -0.195 Ha/atom

---

2.
VASP calculation (PBE) on a relaxed structure of AcTmSb.

Unit cell a=12.610 b=4.375 c=8.755 alpha=90.00 beta=122.27 gamma=90.00
Space group C2/m (No. 12)
Unique sites:
1 Ac 0.075 0.000 0.341 x4
2 Tm 0.155 0.500 0.057 x4
3 Sb 0.162 0.500 0.707 x4

- Raw formation energy: -0.7063 eV per atom
- E: -0.182 Ha/atom

---

3.
VASP calculation (PBE) on a relaxed structure of AcTm4Sb5.

Unit cell a=14.679 b=4.434 c=10.870 alpha=90.00 beta=119.46 gamma=90.00
Space group C2/m (No. 12)
Unique sites:
1 Ac 0.000 0.000 0.000 x2
2 Tm 0.094 0.500 0.396 x4
3 Tm 0.203 0.000 0.791 x4
4 Sb 0.000 0.000 0.500 x2
5 Sb 0.112 0.500 0.893 x4
6 Sb 0.206 0.000 0.317 x4

- Raw formation energy: -1.0682 eV per atom
- E: -0.196 Ha/atom

---

4.
VASP calculation (PBE) on a relaxed structure of AcUSb2.

Unit cell a=3.873 b=3.873 c=7.906 alpha=90.00 beta=90.00 gamma=90.00
Space group P4/mmm (No. 123)
Unique sites:
1 Ac 0.000 0.000 0.000 x1
2 U 0.000 0.000 0.500 x1
3 Sb 0.500 0.500 0.276 x2

- Raw formation energy: -0.5256 eV per atom
- E: -0.237 Ha/atom

---

5.
VASP calculation (PBE) on a relaxed structure of AcUSb2.

Unit cell a=7.845 b=7.845 c=7.845 alpha=90.00 beta=90.00 gamma=90.00
Space group Fm-3m (No. 225)
Unique sites:
1 Ac 0.000 0.000 0.000 x4
2 U 0.000 0.000 0.500 x4
3 Sb 0.250 0.250 0.250 x8

- Raw formation energy: -0.4402 eV per atom
- E: -0.233 Ha/atom

---

6.
VASP calculation (PBE) on a relaxed structure of AcUSb2.

Unit cell a=4.5297 b=4.5297 c=23.0182 alpha=90.00 beta=90.00 gamma=120.00
Space group R-3m (No. 166, hexagonal axes)
Unique sites:
1 Ac 0.0000 0.0000 0.0000 x3
2 U 0.0000 0.0000 0.5000 x3
3 Sb 0.0000 0.0000 0.2420 x6

- Raw formation energy: -0.6598 eV per atom
- E: -0.241 Ha/atom

---

7.
VASP calculation (PBE) on a relaxed structure of AcVSb.

Unit cell a=4.7636 b=4.7636 c=4.4508 alpha=90.00 beta=90.00 gamma=120.00
Space group P-6m2 (No. 187)
Unique sites:
1 Ac 0.0000 0.0000 0.0000 x1
2 V 0.6667 0.3333 0.5000 x1
3 Sb 0.3333 0.6667 0.5000 x1

- Raw formation energy: -0.2571 eV per atom
- E: -0.222 Ha/atom

---

8.
VASP calculation (PBE) on a relaxed structure of AcVSb.

Unit cell a=8.327 b=3.901 c=10.874 alpha=90.00 beta=98.74 gamma=90.00
Space group C2/m (No. 12)
Unique sites:
1 Ac 0.185 0.000 0.162 x4
2 V 0.137 0.500 0.462 x4
3 Sb 0.086 0.000 0.641 x4

- Raw formation energy: -0.2010 eV per atom
- E: -0.220 Ha/atom

---

9.
VASP calculation (PBE) on a relaxed structure of AcVSb2.

Unit cell a=3.552 b=3.552 c=7.928 alpha=90.00 beta=90.00 gamma=90.00
Space group P4/mmm (No. 123)
Unique sites:
1 Ac 0.000 0.000 0.000 x1
2 V 0.000 0.000 0.500 x1
3 Sb 0.500 0.500 0.306 x2

- Raw formation energy: -0.1878 eV per atom
- E: -0.204 Ha/atom

---

10.
VASP calculation (PBE) on a relaxed structure of AcVSb.

Unit cell a=3.717 b=3.717 c=11.767 alpha=90.00 beta=90.00 gamma=90.00
Space group I4mm (No. 107)
Unique sites:
1 Ac 0.000 0.000 0.000 x2
2 V 0.000 0.000 0.302 x2
3 Sb 0.000 0.000 0.709 x2

- Raw formation energy: -0.0560 eV per atom
- E: -0.215 Ha/atom

---

11.
VASP calculation (PBE) on a relaxed structure of Ac3VSb.

Unit cell a=5.585 b=5.585 c=5.585 alpha=90.00 beta=90.00 gamma=90.00
Space group Pm-3m (No. 221)
Unique sites:
1 Ac 0.000 0.000 0.500 x3
2 V 0.000 0.000 0.000 x1
3 Sb 0.500 0.500 0.500 x1

- Raw formation energy: 0.0679 eV per atom
- E: -0.185 Ha/atom

---

12.
VASP calculation (PBE) on a relaxed structure of AcVSb2.

Unit cell a=7.612 b=7.612 c=7.612 alpha=90.00 beta=90.00 gamma=90.00
Space group Fm-3m (No. 225)
Unique sites:
1 Ac 0.000 0.000 0.000 x4
2 V 0.000 0.000 0.500 x4
3 Sb 0.250 0.250 0.250 x8

- Raw formation energy: -0.1852 eV per atom
- E: -0.204 Ha/atom